1.
An optimized crystal structure of Dy3Al3Ru2. Source: Alexandria via LeMat-Bulk, functional GGA-PBE.

```
Dy3Al3Ru2
1.0
-1.237 -5.657 -0.222
7.398 -1.623 0.127
-0.375 -0.518 15.289
Dy Ru Al
12 8 12
Direct
0.602 0.035 0.892 Dy
0.870 0.828 0.250 Dy
0.398 0.965 0.108 Dy
0.102 0.465 0.108 Dy
0.398 0.965 0.392 Dy
0.898 0.535 0.608 Dy
0.602 0.035 0.608 Dy
0.370 0.672 0.750 Dy
0.130 0.172 0.750 Dy
0.898 0.535 0.892 Dy
0.102 0.465 0.392 Dy
0.630 0.328 0.250 Dy
0.634 0.636 0.392 Ru
0.366 0.364 0.608 Ru
0.134 0.864 0.892 Ru
0.866 0.136 0.392 Ru
0.366 0.364 0.892 Ru
0.866 0.136 0.108 Ru
0.634 0.636 0.108 Ru
0.134 0.864 0.608 Ru
0.910 0.841 0.034 Al
0.590 0.341 0.034 Al
0.410 0.659 0.534 Al
0.090 0.159 0.534 Al
0.090 0.159 0.966 Al
0.882 0.827 0.750 Al
0.618 0.327 0.750 Al
0.590 0.341 0.466 Al
0.410 0.659 0.966 Al
0.118 0.173 0.250 Al
0.382 0.673 0.250 Al
0.910 0.841 0.466 Al
```

Computed properties:
* space-group type: Pnma (62)


2.
An optimized crystal structure of Sm2ZrZn3. Source: Alexandria via LeMat-Bulk, functional GGA-PBE.

```
Sm2ZrZn3
1.0
-2.304 -2.132 -1.572
2.643 -1.713 -1.551
0.537 -6.755 8.377
Sm Zn Zr
2 3 1
Direct
0.500 0.500 0.822 Sm
0.500 0.500 0.178 Sm
0.000 0.000 0.359 Zn
0.000 0.000 0.641 Zn
0.000 0.000 0.000 Zn
0.500 0.500 0.500 Zr
```

Computed properties:
* space-group type: P4/mmm (123)


Sequential energy of formation from the pure elements output: -4.31 -1.60 eV per formula unit
Sequential total magnetic moment output: 0.000 0.000 μB/atom